Entry 1:
VASP calculation (PBE-GGA) on crystalline LaEuInRh at its relaxed geometry.

Lattice parameters (Å, degrees): 7.4986 7.4986 7.4986 90.00 90.00 90.00
Space group F-43m (No. 216)
Inequivalent atoms, fractional coordinates:
La1 0.0000 0.0000 0.0000 x4
Eu1 0.0000 0.0000 0.5000 x4
In1 0.2500 0.2500 0.2500 x4
Rh1 0.2500 0.2500 0.7500 x4

Computed properties:
Its density of states at the Fermi level is 2.05 states/eV/atom. For the formation energy, the calculation gives -39 kJ per mole of atoms.

***

Entry 2:
VASP calculation (PBE-GGA) on crystalline LaSmEuIn at its relaxed geometry.

Lattice parameters (Å, degrees): 7.9988 7.9988 7.9988 90.00 90.00 90.00
Space group F-43m (No. 216)
Inequivalent atoms, fractional coordinates:
La1 0.0000 0.0000 0.0000 x4
Sm1 0.0000 0.0000 0.5000 x4
Eu1 0.2500 0.2500 0.2500 x4
In1 0.2500 0.2500 0.7500 x4

Computed properties:
Its density of states at the Fermi level is 1.36 states/eV/atom. For the formation energy, the calculation gives -17 kJ per mole of atoms.

***

Entry 3:
VASP calculation (PBE-GGA) on crystalline SrLaEuIn at its relaxed geometry.

Lattice parameters (Å, degrees): 8.2611 8.2611 8.2611 90.00 90.00 90.00
Space group F-43m (No. 216)
Inequivalent atoms, fractional coordinates:
Sr1 0.0000 0.0000 0.0000 x4
La1 0.2500 0.2500 0.7500 x4
Eu1 0.2500 0.2500 0.2500 x4
In1 0.0000 0.0000 0.5000 x4

Computed properties:
Its density of states at the Fermi level is 2.47 states/eV/atom. For the formation energy, the calculation gives -12 kJ per mole of atoms.